# PrSbIr

An optimized crystal structure of PrSbIr (PBE-GGA, Alexandria via LeMat-Bulk).

As for the volume: 73.7 Å³/cell. For the density of states at the Fermi level, the calculation gives 0.966 states/eV per atom. The value obtained for the energy relative to the elements, uncorrected is -0.7325 eV/atom. The value obtained for the total moment is 0.000 Bohr magnetons per cell.

It has space group P-6m2 (No. 187), with a = 4.5565 Å, b = 4.5565 Å, c = 4.0994 Å, α = 90.00°, β = 90.00° and γ = 120.00°. Symmetry generates all atoms from Pr at (0.0000, 0.0000, 0.0000), Sb at (0.6667, 0.3333, 0.5000) and Ir at (0.3333, 0.6667, 0.5000).